GGA+U V6O7F5, relaxed; total moment = 11.0 Bohr magnetons per cell; energy above the lowest structure with this stoichiometry = 16 meV/atom
1.0
-1.3957 -3.7988 -3.9301
-0.9172 -5.0439 2.3541
-7.4923 -1.4725 0.2787
V O F
6 7 5
Direct
0.6654 0.6654 0.8296
0.3330 0.3330 0.6611
0.6620 0.6620 0.3277
0.3477 0.3477 0.1949
0.9986 0.9986 0.4998
0.9995 0.9995 0.0017
0.0316 0.6323 0.6650
0.3679 0.9759 0.3303
0.4356 0.4356 0.3656
0.2996 0.6930 0.0030
0.6323 0.0316 0.6650
0.9759 0.3679 0.3303
0.6930 0.2996 0.0030
0.2297 0.2297 0.9621
0.5662 0.5662 0.6269
0.8970 0.8970 0.2971
0.0970 0.0970 0.7047
0.7681 0.7681 0.0320